(1)
Below is a relaxed structure of DyInSn2, with properties calculated at the PBE level.

The structure in extended XYZ format:
```
4
Lattice="-1.7834 -2.7930 3.1799 3.4617 -3.1237 -0.8021 2.6505 2.0853 3.3182" Properties=species:S:1:pos:R:3 pbc="T T T"
Sn 1.7309 -1.5618 -0.4011
Sn 1.3253 1.0427 1.6591
In -0.8917 -1.3965 1.5899
Dy 2.1644 -1.9157 2.8480
```

Calculated values
energy relative to the elements	-426	meV/atom
SG	P4/mmm (123)



(2)
Below is a relaxed structure of BaMg6, with properties calculated at the PBE level.

The structure in extended XYZ format:
```
28
Lattice="-6.0540 -1.2298 -0.1144 1.9467 -9.3265 -2.7613 0.4855 -3.5325 12.2737" Properties=species:S:1:pos:R:3 pbc="T T T"
Mg -3.4895 -6.4480 3.6936
Mg -1.1673 -2.1411 1.3597
Mg -0.5401 -5.8721 8.2714
Mg 0.5068 -10.6131 3.8374
Ba -0.7976 -4.2677 4.6539
Mg -0.1323 -7.6408 5.7044
Mg -5.5385 -4.2723 8.1598
Mg -4.0582 -3.5311 2.4295
Ba -3.6135 -6.4972 10.7785
Mg -2.6150 -3.6784 8.2151
Mg -4.5059 -9.3665 8.2766
Mg -2.6682 -10.0051 -1.5305
Mg -0.2425 -7.5796 10.8805
Mg -2.0394 -5.3161 1.0661
Mg -1.0068 -10.4104 1.1829
Mg -1.5824 -8.7727 8.3319
Mg -0.0920 -7.5462 2.5568
Mg -2.4545 -11.9477 8.0383
Mg -4.1286 -3.4757 5.5606
Mg 0.8841 -4.7223 1.1214
Mg -3.3793 -6.5092 -1.4825
Mg -0.9536 -4.0837 10.9285
Mg 0.4364 -10.5577 6.9685
Mg -3.5298 -6.5426 6.8412
Mg 1.9167 -9.8165 1.2382
Mg -3.0817 -8.2167 1.1266
Ba -2.8242 -9.8210 4.7441
Ba -0.0083 -7.5916 -1.3805
```

Calculated values
energy relative to the elements	-45	meV/atom
SG	Pnma (62)
energy relative to the lowest polymorph listed for this composition	0.000	eV per atom



(3)
Below is a relaxed structure of MnCo2Rh, with properties calculated at the PBE level.

The structure in extended XYZ format:
```
4
Lattice="8.3556 -0.0093 -0.0054 7.9600 2.5405 -0.0054 7.9600 1.2350 2.2202" Properties=species:S:1:pos:R:3 pbc="T T T"
Rh 6.0689 0.9416 0.5523
Mn 18.2068 2.8247 1.6570
Co 12.0362 1.8673 1.0954
Co 0.1016 0.0158 0.0092
```

Calculated values
energy relative to the elements	164	meV/atom
SG	R-3m (166)



(4)
Below is a relaxed structure of In2AsRh, with properties calculated at the PBE level.

The structure in extended XYZ format:
```
4
Lattice="3.1019 0.0082 0.0000 -0.0441 3.1017 0.0000 0.0000 0.0000 8.2275" Properties=species:S:1:pos:R:3 pbc="T T T"
In 0.0000 0.0000 0.2950
Rh 1.5289 1.5550 2.0569
As 1.5289 1.5550 6.1706
In 0.0000 0.0000 3.8187
```

Calculated values
energy relative to the elements	-41	meV/atom
SG	Cmmm (65)



(5)
Below is a relaxed structure of GaSb2Ru, with properties calculated at the PBE level.

The structure in extended XYZ format:
```
8
Lattice="6.1010 0.0000 0.0000 0.0000 6.1010 0.0000 3.0505 3.0505 5.9997" Properties=species:S:1:pos:R:3 pbc="T T T"
Ga 3.0505 6.1010 2.9998
Ga 3.0505 3.0505 0.0000
Sb 7.6262 7.7872 4.4997
Sb 1.3643 4.5757 1.4999
Sb 4.5757 4.4148 4.4997
Sb 4.7367 1.5252 1.4999
Ru 6.1010 3.0505 2.9998
Ru 0.0000 0.0000 0.0000
```

Calculated values
SG	I-42d (122)
energy relative to the elements, uncorrected	227	meV per atom



(6)
Below is a relaxed structure of Y2GaBr, with properties calculated at the PBE level.

The structure in extended XYZ format:
```
4
Lattice="4.1967 0.0000 0.0000 2.0983 3.6344 0.0000 2.0983 1.2115 7.0374" Properties=species:S:1:pos:R:3 pbc="T T T"
Ga 0.0000 0.0000 0.0000
Y 2.0983 1.2115 1.5245
Y 6.2950 3.6344 5.5129
Br 4.1967 2.4229 3.5187
```

Calculated values
SG	R-3m (166)
energy relative to the elements, uncorrected	-846	meV per atom
energy relative to the lowest polymorph listed for this composition	0.000	eV per atom



no.,volume (Å³ per atom)
1,25.70
2,27.98
3,11.85
4,19.79
5,27.91
6,26.83